A geometry-optimized AcHoS3 structure. Source: Alexandria, functional GGA-PBE.

Structure (POSCAR):
```
AcHoS3
1.0
-2.764 1.460 2.712
2.921 -3.585 4.907
5.403 6.874 1.806
Ho Ac S
2 2 6
direct
0.750 0.750 0.403
0.250 0.250 0.597
0.250 0.750 0.851
0.750 0.250 0.149
0.750 0.987 0.657
0.250 0.487 0.343
0.250 0.013 0.343
0.750 0.513 0.657
0.250 0.250 0.919
0.750 0.750 0.081
```

The total energy is -6.324 eV/atom. For the total moment, the calculation gives 0.00 μB/cell. Its energy above the most stable polymorph in this dataset is 23.7 meV per atom. For the volume, the calculation gives 24.91 A^3/atom. Its symmetry is Pmmn.